First-principles (PBE+U) data for a relaxed structure of NbV2O, as listed in Alexandria.

Values from the calculation:
Space group = I-42d (122)
Raw total energy = -7.290 eV/atom
Calculated density = 5.2 g/cm3
Total magnetization = 4.0 μB/f.u.

POSCAR file:
```
NbV2O
1.0
5.836 0.000 0.000
0.000 5.836 0.000
2.918 2.918 3.916
V O Nb
4 2 2
Cartesian
4.377 5.081 2.937
7.295 6.591 2.937
2.163 4.377 0.979
3.673 1.459 0.979
2.918 2.918 0.000
2.918 5.836 1.958
0.000 0.000 0.000
5.836 2.918 1.958
```